V3CrNi2P6O24: relaxed, PBE with a Hubbard U.

final energy: -7.2249 eV per atom
volume: 1314.9 Å³ per cell

The structure in CIF format:
```
data_V3CrNi2P6O24
_cell_length_a 8.5939
_cell_length_b 8.5939
_cell_length_c 20.5573
_cell_angle_alpha 90.00
_cell_angle_beta 90.00
_cell_angle_gamma 120.00
_space_group_name_H-M_alt 'R 3'
_space_group_IT_number 146
_space_group_name_Hall 'R 3'
loop_
_atom_site_label
_atom_site_type_symbol
_atom_site_fract_x
_atom_site_fract_y
_atom_site_fract_z
_atom_site_occupancy
V1 V 0.0000 0.0000 0.0000 1
V2 V 0.0000 0.0000 0.2155 1
V3 V 0.0000 0.0000 0.5005 1
Cr1 Cr 0.0000 0.0000 0.7177 1
Ni1 Ni 0.0000 0.0000 0.3575 1
Ni2 Ni 0.0000 0.0000 0.8585 1
P1 P 0.9998 0.2940 0.1082 1
P2 P 0.9999 0.7075 0.6087 1
O1 O 0.0023 0.8045 0.6703 1
O2 O 0.0100 0.1982 0.1696 1
O3 O 0.0153 0.8346 0.2813 1
O4 O 0.0189 0.1838 0.7842 1
O5 O 0.1410 0.4696 0.7131 1
O6 O 0.1423 0.6716 0.2130 1
O7 O 0.1687 0.4854 0.1004 1
O8 O 0.1685 0.6847 0.6002 1
```